Density functional theory data (GGA+U) for K2Er2VO6 after structural relaxation.

Cell and atoms, written as POSCAR:
```
K2Er2VO6
1.0
2.8445 -4.9205 0.0000
2.8445 4.9205 0.0000
-1.7066 0.0000 6.3340
K Er V O
2 2 1 6
Direct
0.1627 0.8373 0.0000
0.8373 0.1627 0.0000
0.3328 0.6672 0.5000
0.6672 0.3328 0.5000
0.0000 0.0000 0.5000
0.0481 0.3613 0.6715
0.2364 0.2364 0.3358
0.3613 0.0481 0.6715
0.6387 0.9519 0.3285
0.7636 0.7636 0.6642
0.9519 0.6387 0.3285
```

Calculated values
Density of states at the Fermi level in states/eV/cell: 0.00
Crystal system: monoclinic
Magnetic moment in Bohr magnetons per cell: 1.0
VASP energy in eV per atom: -7.00